Entry 1:
DFT (meta-GGA SCAN) results for LaAgAs at its PBEsol-relaxed geometry.

Cell lengths 4.7512, 4.7512, 4.7512 Å; angles 60.00, 60.00, 60.00 degrees
Closest atoms and distances in Å follow each position.
Atoms (fractional coordinates):
1 As 0.2500 0.2500 0.2500  4 La 2.91, 4 Ag 2.91
2 Ag 0.5000 0.5000 0.5000  4 As 2.91
3 La 0.0000 0.0000 0.0000  4 As 2.91

Results
D(E_F) (states/eV/cell): 2.213
Formation energy from the elements (meV per atom): -685.2
SG: No. 216
Theoretical density (Mg/m³): 7.0
Total energy (eV/cell): -96.7
Total moment (μB/atom): 0.00

Entry 2:
DFT (meta-GGA SCAN) results for La2AgAsRu at its PBEsol-relaxed geometry.

Cell lengths 4.4987, 5.6153, 5.6153 Å; angles 90.00, 90.00, 90.00 degrees
Closest atoms and distances in Å follow each position.
Atoms (fractional coordinates):
1 Ru 0.5000 0.5000 0.5000  8 La 3.60, 4 As 3.97
2 As 0.5000 0.0000 0.0000  2 Ag 2.25
3 Ag 0.0000 0.0000 0.0000  2 As 2.25
4 La 0.0000 0.0000 0.5000  2 Ag 2.81
5 La 0.0000 0.5000 0.0000  2 Ag 2.81

Results
D(E_F) (states/eV/cell): 3.020
Formation energy from the elements (meV per atom): 496.1
SG: No. 123
Theoretical density (Mg/m³): 6.6
Total energy (eV/cell): -170.1
Total moment (μB/atom): 0.25

Entry 3:
DFT (meta-GGA SCAN) results for La2ScAgAs at its PBEsol-relaxed geometry.

Cell lengths 5.0385, 5.6247, 5.6247 Å; angles 90.00, 90.00, 90.00 degrees
Closest atoms and distances in Å follow each position.
Atoms (fractional coordinates):
1 Sc 0.5000 0.0000 0.0000  2 Ag 2.52
2 As 0.5000 0.5000 0.5000  8 La 3.78, 4 Sc 3.98
3 Ag 0.0000 0.0000 0.0000  2 Sc 2.52, 4 La 2.81
4 La 0.0000 0.0000 0.5000  2 Ag 2.81
5 La 0.0000 0.5000 0.0000  2 Ag 2.81

Results
D(E_F) (states/eV/cell): 4.984
Formation energy from the elements (meV per atom): -1.1
SG: No. 123
Theoretical density (Mg/m³): 5.3
Total energy (eV/cell): -152.0
Total moment (μB/atom): 0.00